! CrAg3F6 PBE with a Hubbard U optimized geometry; values from VASP
&SYSTEM
  ibrav = 0, nat = 10, ntyp = 3
/
ATOMIC_SPECIES
F 19.00 F.upf
Ag 107.87 Ag.upf
Cr 52.00 Cr.upf
ATOMIC_POSITIONS crystal
F 0.7740 0.2260 0.7740
F 0.7740 0.7740 0.2260
Ag 0.5000 0.5000 0.5000
Ag 0.7500 0.7500 0.7500
F 0.2260 0.7740 0.7740
F 0.2260 0.7740 0.2260
Ag 0.2500 0.2500 0.2500
F 0.7740 0.2260 0.2260
F 0.2260 0.2260 0.7740
Cr 0.0000 0.0000 0.0000
CELL_PARAMETERS angstrom
-1.1825 1.1693 5.8200
4.3357 -0.6895 4.1670
2.4351 4.8579 2.6663
! E above lowest polymorph (eV per formula unit): 0.87